First-principles (PBE-GGA) data for SrZrVGe2 after structural relaxation, as listed in the Alexandria database.

Lattice parameters (Å, degrees): 5.337 5.337 5.190 90.00 90.00 90.00
Fractional positions:
Sr 0.000 0.000 0.000
Zr 0.000 0.000 0.500
V 0.500 0.500 0.500
Ge 0.000 0.500 0.000
Ge 0.500 0.000 0.000

Output
* calculated density: 4.2 g/cm³
* space group: P4/mmm (123)
* electronic total energy: -0.133 Ha/atom
* calculated volume: 148 Å³/f.u.